A relaxed Ba3MnSb2O6 crystal, computed with GGA+U.

total moment: 4.65 μB/f.u.
E_tot: -74.4 eV/cell
DOS at the Fermi energy: 0.24 states/eV/atom
space-group type: P-3m1, No. 164

Geometry as POSCAR:
```
Ba3MnSb2O6
1.0
-3.2939 4.9705 0.2903
-2.6017 -5.3427 0.5717
1.0101 0.2593 7.0206
O Ba Sb Mn
6 3 2 1
Direct
0.8277 0.1723 0.6838
0.6554 0.8277 0.3162
0.3446 0.1723 0.6838
0.1723 0.8277 0.3162
0.8277 0.6554 0.6838
0.1723 0.3446 0.3162
0.6667 0.3333 0.3580
0.0000 0.0000 0.0000
0.3333 0.6667 0.6420
0.3333 0.6667 0.1495
0.6667 0.3333 0.8505
0.0000 0.0000 0.5000
```